[1]
Entry from the Alexandria database: a relaxed Tb2Dy5Tm12 crystal (GGA-PBE).

abc: 6.0650 12.6179 12.6169
angles: 127.97 85.36 124.06
With the nearest neighbours (Å) after each atom.
Sites, in units of the cell vectors:
Dy 0.7892 0.5263 0.4472  2 Dy 3.50-3.51, 8 Tm 3.50-3.51, 2 Tb 3.51
Dy 0.4741 0.3159 0.8683  10 Tm 3.49-3.50, 2 Dy 3.50
Dy 0.5259 0.6841 0.1317  10 Tm 3.49-3.50, 2 Dy 3.50
Dy 0.0000 0.0000 0.5000  10 Tm 3.50, 2 Dy 3.50
Dy 0.2108 0.4737 0.5528  2 Dy 3.50-3.51, 8 Tm 3.50-3.51, 2 Tb 3.51
Tb 0.2631 0.8425 0.8161  9 Tm 3.50-3.51, 1 Tb 3.50, 2 Dy 3.51
Tb 0.7369 0.1575 0.1839  9 Tm 3.50-3.51, 1 Tb 3.50, 2 Dy 3.51
Tm 0.6845 0.7893 0.9211  3 Tb 3.50-3.51, 2 Dy 3.50, 7 Tm 3.50-3.51
Tm 0.3155 0.2107 0.0789  3 Tb 3.50-3.51, 2 Dy 3.50, 7 Tm 3.50-3.51
Tm 0.9478 0.6319 0.2367  7 Tm 3.49-3.51, 5 Dy 3.50
Tm 0.6315 0.4208 0.6581  5 Dy 3.49-3.51, 6 Tm 3.50-3.51, 1 Tb 3.51
Tm 0.8953 0.2638 0.9738  7 Tm 3.49-3.51, 3 Dy 3.50, 2 Tb 3.50-3.51
Tm 0.8421 0.8952 0.7107  4 Dy 3.50-3.51, 6 Tm 3.50-3.51, 2 Tb 3.50
Tm 0.3685 0.5792 0.3419  5 Dy 3.49-3.51, 6 Tm 3.50-3.51, 1 Tb 3.51
Tm 0.4219 0.9478 0.6052  7 Tm 3.49-3.51, 4 Dy 3.50-3.51, 1 Tb 3.50
Tm 0.1047 0.7362 0.0262  7 Tm 3.49-3.51, 3 Dy 3.50, 2 Tb 3.50-3.51
Tm 0.0522 0.3681 0.7633  7 Tm 3.49-3.51, 5 Dy 3.50
Tm 0.1579 0.1048 0.2893  4 Dy 3.50-3.51, 6 Tm 3.50-3.51, 2 Tb 3.50
Tm 0.5781 0.0522 0.3948  7 Tm 3.49-3.51, 4 Dy 3.50-3.51, 1 Tb 3.50

## Properties
V ... 30.4 A^3/atom
Energy relative to the lowest polymorph listed for this composition ... 0.000 eV/atom
Calculated total energy ... -85.494 eV per cell
SG ... No. 2

[2]
Entry from the Alexandria database: a relaxed Tb19Dy4Tm6 crystal (GGA-PBE).

abc: 10.7470 10.7470 10.7471
angles: 109.47 109.47 109.47
With the nearest neighbours (Å) after each atom.
Sites, in units of the cell vectors:
Tb 0.4582 0.6733 0.6597  1 Tm 3.17, 2 Dy 3.33-3.41, 2 Tb 3.37-3.53
Tb 0.5418 0.2015 0.2151  1 Tm 3.17, 2 Dy 3.33-3.41, 2 Tb 3.37-3.53
Tb 0.3403 0.0136 0.7985  1 Tm 3.17, 2 Dy 3.33-3.41, 2 Tb 3.37-3.53
Tb 0.7985 0.3403 0.0136  1 Tm 3.17, 2 Dy 3.33-3.41, 2 Tb 3.37-3.53
Tb 0.2627 0.2627 0.0000  5 Tb 3.26-3.53, 2 Dy 3.31, 2 Tm 3.34
Tb 0.2015 0.2151 0.5418  1 Tm 3.17, 2 Dy 3.33-3.41, 2 Tb 3.37-3.53
Tb 0.6733 0.6597 0.4582  1 Tm 3.17, 2 Dy 3.33-3.41, 2 Tb 3.37-3.53
Tb 0.6597 0.4582 0.6733  1 Tm 3.17, 2 Dy 3.33-3.41, 2 Tb 3.37-3.53
Tb 0.0000 0.2627 0.2627  5 Tb 3.26-3.53, 2 Dy 3.31, 2 Tm 3.34
Tb 0.0000 0.0000 0.0000  6 Tb 3.26
Tb 0.3267 0.7849 0.9864  1 Tm 3.17, 2 Dy 3.33-3.41, 2 Tb 3.37-3.53
Tb 0.0136 0.7985 0.3403  1 Tm 3.17, 2 Dy 3.33-3.41, 2 Tb 3.37-3.53
Tb 0.0000 0.7373 0.7373  5 Tb 3.26-3.53, 2 Dy 3.31, 2 Tm 3.34
Tb 0.2151 0.5418 0.2015  1 Tm 3.17, 2 Dy 3.33-3.41, 2 Tb 3.37-3.53
Tb 0.7849 0.9864 0.3267  1 Tm 3.17, 2 Dy 3.33-3.41, 2 Tb 3.37-3.53
Tb 0.7373 0.0000 0.7373  5 Tb 3.26-3.53, 2 Dy 3.31, 2 Tm 3.34
Tb 0.2627 0.0000 0.2627  5 Tb 3.26-3.53, 2 Dy 3.31, 2 Tm 3.34
Tb 0.9864 0.3267 0.7849  1 Tm 3.17, 2 Dy 3.33-3.41, 2 Tb 3.37-3.53
Tb 0.7373 0.7373 0.0000  5 Tb 3.26-3.53, 2 Dy 3.31, 2 Tm 3.34
Tm 0.5000 0.1265 0.6265  1 Tm 3.14, 4 Tb 3.17-3.34
Tm 0.1265 0.6265 0.5000  1 Tm 3.14, 4 Tb 3.17-3.34
Tm 0.6265 0.5000 0.1265  1 Tm 3.14, 4 Tb 3.17-3.34
Tm 0.8735 0.3735 0.5000  1 Tm 3.14, 4 Tb 3.17-3.34
Tm 0.5000 0.8735 0.3735  1 Tm 3.14, 4 Tb 3.17-3.34
Tm 0.3735 0.5000 0.8735  1 Tm 3.14, 4 Tb 3.17-3.34
Dy 0.6424 0.0000 0.0000  9 Tb 3.31-3.41
Dy 0.0000 0.6424 0.0000  9 Tb 3.31-3.41
Dy 0.0000 0.0000 0.6424  9 Tb 3.31-3.41
Dy 0.3576 0.3576 0.3576  9 Tb 3.31-3.41

## Properties
V ... 32.9 A^3/atom
Calculated total energy ... -121.865 eV per cell
SG ... No. 197

[3]
Entry from the Alexandria database: a relaxed TbDy12Tm7 crystal (GGA-PBE).

abc: 8.6121 8.6121 8.6121
angles: 95.03 95.03 95.03
With the nearest neighbours (Å) after each atom.
Sites, in units of the cell vectors:
Tm 0.3505 0.0185 0.0813  1 Tb 3.03, 2 Dy 3.05-3.32, 1 Tm 3.06
Tm 0.9187 0.6495 0.9815  1 Tb 3.03, 2 Dy 3.05-3.32, 1 Tm 3.06
Tm 0.9815 0.9187 0.6495  1 Tb 3.03, 2 Dy 3.05-3.32, 1 Tm 3.06
Tm 0.0813 0.3505 0.0185  1 Tb 3.03, 2 Dy 3.05-3.32, 1 Tm 3.06
Tm 0.0185 0.0813 0.3505  1 Tb 3.03, 2 Dy 3.05-3.32, 1 Tm 3.06
Tm 0.5000 0.5000 0.5000  6 Dy 3.05
Tm 0.6495 0.9815 0.9187  1 Tb 3.03, 2 Dy 3.05-3.32, 1 Tm 3.06
Dy 0.4141 0.4756 0.1464  2 Tm 3.05, 2 Dy 3.08-3.32
Dy 0.7503 0.3155 0.1878  3 Tm 3.32-3.53, 3 Dy 3.32-3.55
Dy 0.6845 0.8122 0.2497  3 Tm 3.32-3.53, 3 Dy 3.32-3.55
Dy 0.8536 0.5859 0.5244  2 Tm 3.05, 2 Dy 3.08-3.32
Dy 0.3155 0.1878 0.7503  3 Tm 3.32-3.53, 3 Dy 3.32-3.55
Dy 0.5244 0.8536 0.5859  2 Tm 3.05, 2 Dy 3.08-3.32
Dy 0.1878 0.7503 0.3155  3 Tm 3.32-3.53, 3 Dy 3.32-3.55
Dy 0.4756 0.1464 0.4141  2 Tm 3.05, 2 Dy 3.08-3.32
Dy 0.8122 0.2497 0.6845  3 Tm 3.32-3.53, 3 Dy 3.32-3.55
Dy 0.1464 0.4141 0.4756  2 Tm 3.05, 2 Dy 3.08-3.32
Dy 0.2497 0.6845 0.8122  3 Tm 3.32-3.53, 3 Dy 3.32-3.55
Dy 0.5859 0.5244 0.8536  2 Tm 3.05, 2 Dy 3.08-3.32
Tb 0.0000 0.0000 0.0000  6 Tm 3.03

## Properties
V ... 31.5 A^3/atom
Energy relative to the lowest polymorph listed for this composition ... 0.000 eV/atom
Calculated total energy ... -85.036 eV per cell
SG ... No. 148

[4]
Entry from the Alexandria database: a relaxed Tb4DyTm8 crystal (GGA-PBE).

abc: 7.2274 7.2274 9.8420
angles: 90.00 111.54 120.00
With the nearest neighbours (Å) after each atom.
Sites, in units of the cell vectors:
Tm 0.5004 0.7502 0.6937  1 Dy 2.90, 2 Tm 3.20
Tm 0.4996 0.2498 0.3063  1 Dy 2.90, 2 Tm 3.20
Tm 0.4333 0.2167 0.6500  9 Tm 3.58-3.64, 3 Tb 3.75
Tm 0.9435 0.1933 0.6937  1 Dy 2.90, 2 Tm 3.20
Tm 0.9435 0.7502 0.6937  1 Dy 2.90, 2 Tm 3.20
Tm 0.0565 0.8067 0.3063  1 Dy 2.90, 2 Tm 3.20
Tm 0.5667 0.7833 0.3500  9 Tm 3.58-3.64, 3 Tb 3.75
Tm 0.0565 0.2498 0.3063  1 Dy 2.90, 2 Tm 3.20
Dy 0.0000 0.5000 0.5000  6 Tm 2.90
Tb 0.5000 0.5000 0.0000  6 Tm 3.52-3.75, 6 Tb 3.61
Tb 0.5000 0.0000 0.0000  6 Tm 3.52-3.75, 6 Tb 3.61
Tb 0.0000 0.5000 0.0000  6 Tm 3.52-3.75, 6 Tb 3.61
Tb 0.0000 0.0000 0.0000  6 Tm 3.30, 6 Tb 3.61

## Properties
V ... 31.0 A^3/atom
Calculated total energy ... -55.926 eV per cell
SG ... No. 166

[5]
Entry from the Alexandria database: a relaxed Tb4Dy2Tm5 crystal (GGA-PBE).

abc: 3.6218 9.7918 12.5555
angles: 123.73 81.72 111.72
With the nearest neighbours (Å) after each atom.
Sites, in units of the cell vectors:
Tb 0.7545 0.4267 0.3440  6 Tm 3.49-3.90, 6 Tb 3.62-3.80, 1 Dy 3.69
Tb 0.2455 0.5733 0.6560  6 Tm 3.49-3.90, 6 Tb 3.62-3.80, 1 Dy 3.69
Tb 0.6755 0.6477 0.9449  4 Dy 3.39-3.69, 3 Tm 3.41-3.44, 5 Tb 3.62-3.74
Tb 0.3245 0.3523 0.0551  4 Dy 3.39-3.69, 3 Tm 3.41-3.44, 5 Tb 3.62-3.74
Dy 0.8891 0.2737 0.7693  5 Tm 3.37-3.57, 5 Tb 3.39-3.69, 2 Dy 3.62
Dy 0.1109 0.7263 0.2307  5 Tm 3.37-3.57, 5 Tb 3.39-3.69, 2 Dy 3.62
Tm 0.4200 0.1700 0.5002  6 Tm 3.35-3.62, 3 Dy 3.45-3.57, 2 Tb 3.57
Tm 0.5000 0.0000 0.0000  6 Tm 3.29-3.62, 4 Tb 3.41
Tm 0.5800 0.8300 0.4998  6 Tm 3.35-3.62, 3 Dy 3.45-3.57, 2 Tb 3.57
Tm 0.9241 0.0423 0.2364  6 Tm 3.29-3.62, 2 Dy 3.37, 3 Tb 3.44-3.49
Tm 0.0759 0.9577 0.7636  6 Tm 3.29-3.62, 2 Dy 3.37, 3 Tb 3.44-3.49

## Properties
V ... 31.2 A^3/atom
Energy relative to the lowest polymorph listed for this composition ... 0.000 eV/atom
Calculated total energy ... -49.457 eV per cell
SG ... No. 12

[6]
Entry from the Alexandria database: a relaxed Tb12Dy6Tm crystal (GGA-PBE).

abc: 8.5016 8.5016 8.5016
angles: 88.59 88.59 88.59
With the nearest neighbours (Å) after each atom.
Sites, in units of the cell vectors:
Tb 0.4350 0.7762 0.5410  3 Dy 3.28-3.43, 6 Tb 3.28-3.59
Tb 0.5410 0.4350 0.7762  3 Dy 3.28-3.43, 6 Tb 3.28-3.59
Tb 0.6424 0.9869 0.7987  4 Tb 3.41-3.55, 4 Dy 3.49-3.67, 1 Tm 3.53
Tb 0.2238 0.4590 0.5650  3 Dy 3.28-3.43, 6 Tb 3.28-3.59
Tb 0.7987 0.6424 0.9869  4 Tb 3.41-3.55, 4 Dy 3.49-3.67, 1 Tm 3.53
Tb 0.5650 0.2238 0.4590  3 Dy 3.28-3.43, 6 Tb 3.28-3.59
Tb 0.0131 0.2013 0.3576  4 Tb 3.41-3.55, 4 Dy 3.49-3.67, 1 Tm 3.53
Tb 0.4590 0.5650 0.2238  3 Dy 3.28-3.43, 6 Tb 3.28-3.59
Tb 0.2013 0.3576 0.0131  4 Tb 3.41-3.55, 4 Dy 3.49-3.67, 1 Tm 3.53
Tb 0.9869 0.7987 0.6424  4 Tb 3.41-3.55, 4 Dy 3.49-3.67, 1 Tm 3.53
Tb 0.7762 0.5410 0.4350  3 Dy 3.28-3.43, 6 Tb 3.28-3.59
Tb 0.3576 0.0131 0.2013  4 Tb 3.41-3.55, 4 Dy 3.49-3.67, 1 Tm 3.53
Dy 0.2588 0.0940 0.6945  6 Tb 3.28-3.57, 1 Tm 3.45, 2 Dy 3.48
Dy 0.6945 0.2588 0.0940  6 Tb 3.28-3.57, 1 Tm 3.45, 2 Dy 3.48
Dy 0.7412 0.9060 0.3055  6 Tb 3.28-3.57, 1 Tm 3.45, 2 Dy 3.48
Dy 0.9060 0.3055 0.7412  6 Tb 3.28-3.57, 1 Tm 3.45, 2 Dy 3.48
Dy 0.0940 0.6945 0.2588  6 Tb 3.28-3.57, 1 Tm 3.45, 2 Dy 3.48
Dy 0.3055 0.7412 0.9060  6 Tb 3.28-3.57, 1 Tm 3.45, 2 Dy 3.48
Tm 0.0000 0.0000 0.0000  6 Dy 3.45, 6 Tb 3.53

## Properties
V ... 32.3 A^3/atom
Energy relative to the lowest polymorph listed for this composition ... 0.000 eV/atom
Calculated total energy ... -84.755 eV per cell
SG ... No. 148

[7]
Entry from the Alexandria database: a relaxed Tb3Dy3Tm crystal (GGA-PBE).

abc: 5.6402 9.5211 9.5209
angles: 120.00 90.00 90.00
With the nearest neighbours (Å) after each atom.
Sites, in units of the cell vectors:
Tb 0.7500 0.1917 0.9524  5 Dy 3.50-3.60, 6 Tb 3.51-3.62, 1 Tm 3.59
Tb 0.2500 0.8083 0.0476  5 Dy 3.50-3.60, 6 Tb 3.51-3.62, 1 Tm 3.59
Tb 0.7500 0.0476 0.2393  5 Dy 3.50-3.60, 6 Tb 3.51-3.62, 1 Tm 3.59
Tb 0.2500 0.9524 0.7607  5 Dy 3.50-3.60, 6 Tb 3.51-3.62, 1 Tm 3.59
Tb 0.7500 0.7607 0.8083  5 Dy 3.50-3.60, 6 Tb 3.51-3.62, 1 Tm 3.59
Tb 0.2500 0.2393 0.1917  5 Dy 3.50-3.60, 6 Tb 3.51-3.62, 1 Tm 3.59
Dy 0.2500 0.3810 0.9050  5 Tb 3.50-3.60, 4 Dy 3.50-3.60, 3 Tm 3.50-3.60
Dy 0.7500 0.4760 0.3810  5 Tb 3.50-3.60, 4 Dy 3.50-3.60, 3 Tm 3.50-3.60
Dy 0.7500 0.9050 0.5240  5 Tb 3.50-3.60, 4 Dy 3.50-3.60, 3 Tm 3.50-3.60
Dy 0.7500 0.6190 0.0950  5 Tb 3.50-3.60, 4 Dy 3.50-3.60, 3 Tm 3.50-3.60
Dy 0.2500 0.5240 0.6190  5 Tb 3.50-3.60, 4 Dy 3.50-3.60, 3 Tm 3.50-3.60
Dy 0.2500 0.0950 0.4760  5 Tb 3.50-3.60, 4 Dy 3.50-3.60, 3 Tm 3.50-3.60
Tm 0.7500 0.3333 0.6667  9 Dy 3.50-3.60, 3 Tb 3.59
Tm 0.2500 0.6667 0.3333  9 Dy 3.50-3.60, 3 Tb 3.59

## Properties
V ... 31.6 A^3/atom
Energy relative to the lowest polymorph listed for this composition ... 0.000 eV/atom
Calculated total energy ... -64.200 eV per cell
SG ... No. 176

[8]
Entry from the Alexandria database: a relaxed Tb3Dy2Tm crystal (GGA-PBE).

abc: 5.5911 8.9073 9.6321
angles: 122.71 90.00 108.29
With the nearest neighbours (Å) after each atom.
Sites, in units of the cell vectors:
Tb 0.2513 0.5026 0.5818  3 Tb 3.20-3.49, 2 Dy 3.22-3.45
Tb 0.6248 0.2496 0.6264  8 Tb 3.47-3.69, 1 Tm 3.48, 5 Dy 3.65-3.68
Tb 0.3752 0.7504 0.3736  8 Tb 3.47-3.69, 1 Tm 3.48, 5 Dy 3.65-3.68
Tb 0.7487 0.4974 0.4182  3 Tb 3.20-3.49, 2 Dy 3.22-3.45
Tb 0.0005 0.0009 0.3316  3 Dy 3.22-3.50, 2 Tb 3.25-3.49
Tb 0.9995 0.9991 0.6684  3 Dy 3.22-3.50, 2 Tb 3.25-3.49
Dy 0.7488 0.4976 0.0843  2 Tb 3.22-3.50, 3 Dy 3.24-3.47
Dy 0.4997 0.9993 0.8347  2 Dy 3.18-3.47, 3 Tb 3.22-3.45
Dy 0.5003 0.0007 0.1653  2 Dy 3.18-3.47, 3 Tb 3.22-3.45
Dy 0.2512 0.5024 0.9157  2 Tb 3.22-3.50, 3 Dy 3.24-3.47
Tm 0.8750 0.7501 0.8766  1 Tm 3.48, 6 Tb 3.48-3.67, 7 Dy 3.64-3.66
Tm 0.1250 0.2499 0.1234  1 Tm 3.48, 6 Tb 3.48-3.67, 7 Dy 3.64-3.66

## Properties
V ... 31.2 A^3/atom
Energy relative to the lowest polymorph listed for this composition ... 0.066 eV/atom
Calculated total energy ... -54.309 eV per cell
SG ... No. 12

[9]
Entry from the Alexandria database: a relaxed TbDy2Tm crystal (GGA-PBE).

abc: 3.5537 3.5537 11.5564
angles: 81.16 81.16 60.00
With the nearest neighbours (Å) after each atom.
Sites, in units of the cell vectors:
Tm 0.5003 0.5003 0.4990  6 Dy 3.47-3.49, 6 Tm 3.55
Dy 0.2489 0.2489 0.2534  3 Tm 3.47, 3 Tb 3.53, 6 Dy 3.55
Dy 0.0843 0.0843 0.7471  3 Tm 3.49, 3 Tb 3.54, 6 Dy 3.55
Tb 0.6665 0.6665 0.0005  6 Dy 3.53-3.54, 6 Tb 3.55

## Properties
V ... 31.1 A^3/atom
Energy relative to the lowest polymorph listed for this composition ... 0.002 eV/atom
Calculated total energy ... -18.278 eV per cell
SG ... No. 160

[10]
Entry from the Alexandria database: a relaxed Tb3Dy2Tm3 crystal (GGA-PBE).

abc: 4.9748 4.9808 10.5736
angles: 103.62 103.61 90.00
With the nearest neighbours (Å) after each atom.
Sites, in units of the cell vectors:
Tm 0.0000 0.5000 0.0000  8 Tb 3.51-3.52, 4 Tm 3.52
Tm 0.1250 0.1250 0.2499  4 Dy 3.52-3.53, 6 Tb 3.52, 2 Tm 3.52
Tm 0.8750 0.8750 0.7501  4 Dy 3.52-3.53, 6 Tb 3.52, 2 Tm 3.52
Dy 0.7497 0.2497 0.4995  4 Tm 3.52-3.53, 4 Dy 3.52, 4 Tb 3.53
Dy 0.2503 0.7503 0.5005  4 Tm 3.52-3.53, 4 Dy 3.52, 4 Tb 3.53
Tb 0.6244 0.6244 0.2488  6 Tm 3.51-3.52, 2 Tb 3.51, 4 Dy 3.53
Tb 0.3756 0.3756 0.7512  6 Tm 3.51-3.52, 2 Tb 3.51, 4 Dy 3.53
Tb 0.5000 0.0000 0.0000  4 Tb 3.51, 8 Tm 3.52

## Properties
V ... 30.9 A^3/atom
Energy relative to the lowest polymorph listed for this composition ... 0.000 eV/atom
Calculated total energy ... -36.340 eV per cell
SG ... No. 71

Total magnetic moment, record by record: 0.0; 0.0; 0.0; 0.0; 0.0; 0.0; 0.0; 0.0; 0.0; 0.0 μB/f.u.